The following is a DFT calculation (PBE-GGA) of a relaxed structure of Ba4CaIr.

Unit cell a=10.042 b=10.042 c=10.042 alpha=90.00 beta=90.00 gamma=90.00
Space group F-43m (No. 216)
One atom of each set of equivalent atoms:
Ba 0.122 0.122 0.378
Ca 0.000 0.000 0.000
Ir 0.250 0.250 0.750

Calculated formation energy   0.846 eV/atom
Fermi-level density of states   9.64 states/eV/f.u.
Calculated volume   253.18 Å³/f.u.
Calculated total energy   -2.25 eV per atom
Crystal system   cubic